(1)
# CsPaAs2, relaxed, DFT PBE
# Formation enthalpy at 0 K (eV/atom): -0.7939
# ΔE to the lowest computed polymorph (eV/f.u.): 0.00
data_CsPaAs2
_chemical_formula_sum 'Cs3 Pa3 As6'
_cell_length_a 4.3227
_cell_length_b 4.3227
_cell_length_c 25.0585
_cell_angle_alpha 90.00
_cell_angle_beta 90.00
_cell_angle_gamma 120.00
_symmetry_space_group_name_H-M 'R -3 m'
_symmetry_Int_Tables_number 166
_symmetry_space_group_name_Hall '-R 3 2"'
loop_
_atom_site_label
_atom_site_type_symbol
_atom_site_fract_x
_atom_site_fract_y
_atom_site_fract_z
_atom_site_occupancy
Cs1 Cs 0.0000 0.0000 0.0000 1
Pa1 Pa 0.0000 0.0000 0.5000 1
As1 As 0.0000 0.0000 0.2231 1

---

(2)
# CsPaAs2, relaxed, DFT PBE
# Formation enthalpy at 0 K (eV/atom): -0.6073
# ΔE to the lowest computed polymorph (eV/f.u.): 0.75
data_CsPaAs2
_chemical_formula_sum 'Cs1 Pa1 As2'
_cell_length_a 3.738
_cell_length_b 3.738
_cell_length_c 8.451
_cell_angle_alpha 90.00
_cell_angle_beta 90.00
_cell_angle_gamma 90.00
_symmetry_space_group_name_H-M 'P 4/m m m'
_symmetry_Int_Tables_number 123
_symmetry_space_group_name_Hall '-P 4 2'
loop_
_atom_site_label
_atom_site_type_symbol
_atom_site_fract_x
_atom_site_fract_y
_atom_site_fract_z
_atom_site_occupancy
Cs1 Cs 0.000 0.000 0.000 1
Pa1 Pa 0.000 0.000 0.500 1
As1 As 0.500 0.500 0.326 1

---

(3)
# CsPaAs2S8, relaxed, DFT PBE
# DFT total energy (eV/atom): -4.95
data_CsPaAs2S8
_chemical_formula_sum 'Cs1 Pa1 As2 S8'
_cell_length_a 6.3698
_cell_length_b 6.3698
_cell_length_c 10.5129
_cell_angle_alpha 90.00
_cell_angle_beta 90.00
_cell_angle_gamma 120.00
_symmetry_space_group_name_H-M 'P -3'
_symmetry_Int_Tables_number 147
loop_
_symmetry_equiv_pos_as_xyz
'x,y,z'
'-x,-y,-z'
'-y,x-y,z'
'y,-x+y,-z'
'-x+y,-x,z'
'x-y,x,-z'
loop_
_atom_site_label
_atom_site_type_symbol
_atom_site_fract_x
_atom_site_fract_y
_atom_site_fract_z
_atom_site_occupancy
Cs1 Cs 0.0000 0.0000 0.0000 1
Pa1 Pa 0.0000 0.0000 0.5000 1
As1 As 0.3333 0.6667 0.7177 1
S1 S 0.0034 0.6597 0.3545 1
S2 S 0.3333 0.6667 0.9172 1

---

(4)
# Cs2PaAsS6, relaxed, DFT PBE
# DFT total energy (eV/atom): -4.99
data_Cs2PaAsS6
_chemical_formula_sum 'Cs2 Pa1 As1 S6'
_cell_length_a 7.6246
_cell_length_b 7.6246
_cell_length_c 6.2706
_cell_angle_alpha 90.00
_cell_angle_beta 90.00
_cell_angle_gamma 120.00
_symmetry_space_group_name_H-M 'P -3 m 1'
_symmetry_Int_Tables_number 164
_symmetry_space_group_name_Hall '-P 3 2"'
loop_
_atom_site_label
_atom_site_type_symbol
_atom_site_fract_x
_atom_site_fract_y
_atom_site_fract_z
_atom_site_occupancy
Cs1 Cs 0.3333 0.6667 0.2227 1
Pa1 Pa 0.0000 0.0000 0.5000 1
As1 As 0.0000 0.0000 0.0000 1
S1 S 0.1509 0.3019 0.7779 1

---

(5)
# Cs2PaAsS5, relaxed, DFT PBE
# DFT total energy (eV/atom): -5.17
data_Cs2PaAsS5
_chemical_formula_sum 'Cs8 Pa4 As4 S20'
_cell_length_a 4.316
_cell_length_b 19.236
_cell_length_c 15.278
_cell_angle_alpha 90.00
_cell_angle_beta 90.00
_cell_angle_gamma 90.00
_symmetry_space_group_name_H-M 'C m c 21'
_symmetry_Int_Tables_number 36
loop_
_symmetry_equiv_pos_as_xyz
'x,y,z'
'-x,-y,z+1/2'
'-x,y,z'
'x,-y,z+1/2'
'x+1/2,y+1/2,z'
'-x+1/2,-y+1/2,z+1/2'
'-x+1/2,y+1/2,z'
'x+1/2,-y+1/2,z+1/2'
loop_
_atom_site_label
_atom_site_type_symbol
_atom_site_fract_x
_atom_site_fract_y
_atom_site_fract_z
_atom_site_occupancy
Cs1 Cs 0.000 0.104 0.000 1
Cs2 Cs 0.000 0.136 0.661 1
Pa1 Pa 0.000 0.200 0.378 1
As1 As 0.000 0.447 0.778 1
S1 S 0.000 0.065 0.384 1
S2 S 0.000 0.290 0.984 1
S3 S 0.000 0.325 0.337 1
S4 S 0.000 0.325 0.762 1
S5 S 0.000 0.487 0.645 1

---

(6)
# Cs2PaAsSe6, relaxed, DFT PBE
# DFT total energy (eV/atom): -4.54
data_Cs2PaAsSe6
_chemical_formula_sum 'Cs2 Pa1 As1 Se6'
_cell_length_a 7.7897
_cell_length_b 7.7897
_cell_length_c 6.5538
_cell_angle_alpha 90.00
_cell_angle_beta 90.00
_cell_angle_gamma 120.00
_symmetry_space_group_name_H-M 'P -3 m 1'
_symmetry_Int_Tables_number 164
_symmetry_space_group_name_Hall '-P 3 2"'
loop_
_atom_site_label
_atom_site_type_symbol
_atom_site_fract_x
_atom_site_fract_y
_atom_site_fract_z
_atom_site_occupancy
Cs1 Cs 0.3333 0.6667 0.2683 1
Pa1 Pa 0.0000 0.0000 0.0000 1
As1 As 0.0000 0.0000 0.5000 1
Se1 Se 0.1597 0.3193 0.7310 1

---

(7)
# CsAs2Pb2, relaxed, DFT PBE
# Formation enthalpy at 0 K (eV/atom): -0.0452
# ΔE to the lowest computed polymorph (eV/f.u.): 0.64
data_CsAs2Pb2
_chemical_formula_sum 'Cs2 As4 Pb4'
_cell_length_a 9.130
_cell_length_b 9.130
_cell_length_c 3.929
_cell_angle_alpha 90.00
_cell_angle_beta 90.00
_cell_angle_gamma 90.00
_symmetry_space_group_name_H-M 'P 4/m b m'
_symmetry_Int_Tables_number 127
_symmetry_space_group_name_Hall '-P 4 2ab'
loop_
_atom_site_label
_atom_site_type_symbol
_atom_site_fract_x
_atom_site_fract_y
_atom_site_fract_z
_atom_site_occupancy
Cs1 Cs 0.000 0.000 0.000 1
As1 As 0.103 0.397 0.000 1
Pb1 Pb 0.150 0.650 0.500 1

---

(8)
# Cs2As2Pb, relaxed, DFT PBE
# Formation enthalpy at 0 K (eV/atom): -0.0422
data_Cs2As2Pb
_chemical_formula_sum 'Cs4 As4 Pb2'
_cell_length_a 3.836
_cell_length_b 3.836
_cell_length_c 25.135
_cell_angle_alpha 90.00
_cell_angle_beta 90.00
_cell_angle_gamma 90.00
_symmetry_space_group_name_H-M 'I 4/m m m'
_symmetry_Int_Tables_number 139
_symmetry_space_group_name_Hall '-I 4 2'
loop_
_atom_site_label
_atom_site_type_symbol
_atom_site_fract_x
_atom_site_fract_y
_atom_site_fract_z
_atom_site_occupancy
Cs1 Cs 0.000 0.000 0.123 1
As1 As 0.000 0.500 0.250 1
Pb1 Pb 0.000 0.000 0.500 1